No. 1
Density functional theory data (PBE) for an optimized crystal structure of CsSnHg2As.

POSCAR file:
```
CsSnHg2As
1.0
5.912 0.000 0.000
0.000 5.912 0.000
0.000 0.000 5.492
Cs Sn Hg As
1 1 2 1
direct
0.000 0.000 0.000
0.500 0.500 0.500
0.000 0.500 0.500
0.500 0.000 0.500
0.500 0.500 0.000
```

Summary:
The calculation puts the total moment at 0.0 Bohr magnetons per cell. As for the total energy: -2.071 eV per atom.



No. 2
Density functional theory data (PBE) for an optimized crystal structure of Zn2FeRh.

POSCAR file:
```
Zn2FeRh
1.0
1.370 0.791 8.398
-1.370 0.791 8.398
0.000 -1.582 8.398
Zn Fe Rh
2 1 1
direct
0.249 0.249 0.249
0.751 0.751 0.751
0.500 0.500 0.500
0.000 0.000 0.000
```

Summary:
The calculation puts the total moment at 2.7 Bohr magnetons per cell. As for the total energy: -4.657 eV per atom.



No. 3
Density functional theory data (PBE) for an optimized crystal structure of Li2TmAu.

POSCAR file:
```
Li2TmAu
1.0
3.355 0.000 0.000
0.000 5.093 0.000
-0.258 0.000 4.870
Li Tm Au
2 1 1
direct
0.178 0.000 0.279
0.822 0.000 0.721
0.500 0.500 0.000
0.000 0.500 0.500
```

Summary:
The calculation puts the total moment at 0.0 Bohr magnetons per cell. The excess energy over the best structure of this formula in the dataset is 0 meV/atom.



No. 4
Density functional theory data (PBE) for an optimized crystal structure of SrTiCd2S.

POSCAR file:
```
SrTiCd2S
1.0
5.613 0.000 0.000
0.000 5.613 0.000
0.000 0.000 4.572
Sr Ti Cd S
1 1 2 1
direct
0.000 0.000 0.000
0.500 0.500 0.000
0.000 0.500 0.500
0.500 0.000 0.500
0.500 0.500 0.500
```

Summary:
The calculation puts the total moment at 1.6 Bohr magnetons per cell. The raw formation energy comes out at -4 meV per atom.



No. 5
Density functional theory data (PBE) for an optimized crystal structure of SeS2Cl2.

POSCAR file:
```
SeS2Cl2
1.0
5.806 0.000 0.000
0.053 5.887 0.000
2.866 2.890 6.931
Se S Cl
1 2 2
direct
0.000 0.000 0.000
0.378 0.427 0.140
0.518 0.565 0.865
0.069 0.146 0.679
0.760 0.835 0.322
```

Summary:
The calculation puts the total moment at 3.9 Bohr magnetons per cell. The raw formation energy comes out at 267 meV per atom.



No. 6
Density functional theory data (PBE) for an optimized crystal structure of LaCe3Er2Te6.

POSCAR file:
```
LaCe3Er2Te6
1.0
3.828 -6.642 0.000
3.828 6.642 0.000
-2.562 0.000 7.351
La Ce Er Te
1 3 2 6
direct
0.000 0.000 0.000
0.159 0.841 0.500
0.500 0.500 0.500
0.841 0.159 0.500
0.331 0.669 0.000
0.669 0.331 0.000
0.082 0.428 0.245
0.268 0.268 0.764
0.428 0.082 0.245
0.572 0.918 0.755
0.732 0.732 0.236
0.918 0.572 0.755
```

Summary:
The calculation puts the total moment at 3.5 Bohr magnetons per cell. The raw formation energy comes out at -1358 meV per atom.



No. 7
Density functional theory data (PBE) for an optimized crystal structure of Na2ZnGa3.

POSCAR file:
```
Na2ZnGa3
1.0
5.277 -2.243 0.000
5.277 2.243 0.000
-5.046 0.000 5.345
Na Zn Ga
2 1 3
direct
0.000 0.000 0.000
0.127 0.127 0.629
0.721 0.721 0.035
0.399 0.399 0.217
0.403 0.403 0.587
0.723 0.723 0.410
```

Summary:
The calculation puts the total moment at 0.0 Bohr magnetons per cell. As for the total energy: -2.292 eV per atom.



No. 8
Density functional theory data (PBE) for an optimized crystal structure of Sm2PuIn.

POSCAR file:
```
Sm2PuIn
1.0
4.978 0.000 0.000
0.000 4.978 0.000
0.000 0.000 4.650
Sm Pu In
2 1 1
direct
0.000 0.500 0.000
0.500 0.000 0.000
0.000 0.000 0.500
0.500 0.500 0.500
```

Summary:
The calculation puts the total moment at 6.5 Bohr magnetons per cell. The excess energy over the best structure of this formula in the dataset is 0 meV/atom.



- Look up the total moment of the sixth one.
  3.5 Bohr magnetons per cell



- Which formula does entry 6 have?
  LaCe3Er2Te6



- What is the total moment in the fifth record?
  3.9 Bohr magnetons per cell



- total moment of number 8 (Sm2PuIn)?
  6.5 Bohr magnetons per cell